# 1
Al2In2Sb | GGA-PBEsol | optimized geometry

Cell lengths 8.4143, 8.4143, 8.4143 Å; angles 153.59, 153.59, 37.70 degrees
Fractional coordinates of all 5 atoms:
Al  0.2500  0.7500  0.5000
Al  0.7500  0.2500  0.5000
In  0.1029  0.1029  0.0000
In  0.8971  0.8971  0.0000
Sb  0.5000  0.5000  0.0000

Computed properties:
Formation energy from raw total energies in kJ per mole of atoms: 18.7
Spin magnetization in μB/cell: 0.00

---

# 2
AlInSb2 | GGA-PBEsol | optimized geometry

Cell lengths 6.8087, 6.8087, 6.8087 Å; angles 146.14, 144.82, 49.63 degrees
Fractional coordinates of all 4 atoms:
Al  0.0000  0.0000  0.0000
In  0.2359  0.7359  0.5000
Sb  0.5502  0.5502  0.0000
Sb  0.8311  0.3311  0.5000

Computed properties:
ΔE to the lowest computed polymorph in meV per atom: 198.3
Formation energy from raw total energies in kJ per mole of atoms: 10.0
Spin magnetization in μB/cell: 0.00

---

# 3
AlInSb | GGA-PBEsol | optimized geometry

Cell lengths 6.3459, 6.3459, 6.3459 Å; angles 150.48, 146.23, 45.46 degrees
Fractional coordinates of all 3 atoms:
Al  0.0000  0.0000  0.0000
In  0.3398  0.3398  0.0000
Sb  0.6416  0.6416  0.0000

Computed properties:
ΔE to the lowest computed polymorph in meV per atom: 0.0
Formation energy from raw total energies in kJ per mole of atoms: 11.7
Spin magnetization in μB/cell: 0.00

---

# 4
AlInSb2 | GGA-PBEsol | optimized geometry

Cell lengths 6.2614, 6.2614, 6.2614 Å; angles 144.72, 136.18, 57.46 degrees
Fractional coordinates of all 4 atoms:
Al  0.0000  0.0000  0.0000
In  0.5000  0.5000  0.0000
Sb  0.2026  0.7026  0.5000
Sb  0.7974  0.2974  0.5000

Computed properties:
ΔE to the lowest computed polymorph in meV per atom: 209.6
Formation energy from raw total energies in kJ per mole of atoms: 11.1
Spin magnetization in μB/cell: 0.00

---

# 5
AlInSb2 | GGA-PBEsol | optimized geometry

Cell lengths 4.0905, 4.0905, 7.3694 Å; angles 106.18, 106.18, 60.00 degrees
Fractional coordinates of all 4 atoms:
Al  0.0000  0.0000  0.0000
In  0.5000  0.5000  0.5000
Sb  0.2580  0.2580  0.7756
Sb  0.7420  0.7420  0.2244

Computed properties:
ΔE to the lowest computed polymorph in meV per atom: 104.9
Formation energy from raw total energies in kJ per mole of atoms: 1.0
Spin magnetization in μB/cell: 0.00

---

# 6
Sc2AlIn | GGA-PBEsol | optimized geometry

Cell lengths 5.8125, 5.8125, 5.8125 Å; angles 144.71, 132.44, 60.59 degrees
Fractional coordinates of all 4 atoms:
Sc  0.0000  0.0000  0.0000
Sc  0.7414  0.2414  0.5000
Al  0.2572  0.7572  0.5000
In  0.4788  0.4788  0.0000

Computed properties:
Energy of formation from the pure elements in eV per formula unit: -1.55
Spin magnetization in μB/cell: 0.00

---

| no. | final energy (eV per atom) |
| --- | --- |
| 1 | -3.5476 |
| 2 | -3.9437 |
| 3 | -3.7557 |
| 4 | -3.9323 |
| 5 | -4.0371 |
| 6 | -5.4581 |